Record 1
An optimized crystal structure of Ba5Sr3Ca2, computed with PBE.

Cell and atoms, written as CIF:
```
data_Ba5Sr3Ca2
_space_group_name_H-M_alt 'P 1'
_space_group_IT_number 1
_cell_length_a 8.336
_cell_length_b 8.023
_cell_length_c 20.805
_cell_angle_alpha 100.57
_cell_angle_beta 69.52
_cell_angle_gamma 121.41
loop_
_space_group_symop_operation_xyz
'x,y,z'
loop_
_atom_site_label
_atom_site_type_symbol
_atom_site_fract_x
_atom_site_fract_y
_atom_site_fract_z
Ba1 Ba 0.008 0.749 0.947
Ba2 Ba 0.509 0.252 0.845
Ba3 Ba 0.006 0.248 0.845
Ba4 Ba 0.992 0.251 0.053
Ba5 Ba 0.994 0.752 0.155
Ba6 Ba 0.000 0.250 0.445
Ba7 Ba 0.499 0.750 0.556
Ba8 Ba 0.000 0.750 0.555
Ba9 Ba 0.491 0.748 0.155
Ba10 Ba 0.501 0.250 0.444
Ca1 Ca 0.986 0.249 0.251
Ca2 Ca 0.513 0.748 0.752
Ca3 Ca 0.487 0.252 0.248
Ca4 Ca 0.014 0.751 0.749
Sr1 Sr 0.506 0.752 0.948
Sr2 Sr 0.485 0.251 0.650
Sr3 Sr 0.016 0.751 0.349
Sr4 Sr 0.515 0.749 0.350
Sr5 Sr 0.494 0.248 0.052
Sr6 Sr 0.984 0.249 0.651
```

- calculated formation energy (meV/atom) = 21
- VASP energy (eV/atom) = -1.846

Record 2
An optimized crystal structure of BaSr3Ca12, computed with PBE.

Cell and atoms, written as CIF:
```
data_BaSr3Ca12
_space_group_name_H-M_alt 'P 1'
_space_group_IT_number 1
_cell_length_a 5.697
_cell_length_b 5.697
_cell_length_c 22.432
_cell_angle_alpha 90.00
_cell_angle_beta 90.00
_cell_angle_gamma 90.00
loop_
_space_group_symop_operation_xyz
'x,y,z'
loop_
_atom_site_label
_atom_site_type_symbol
_atom_site_fract_x
_atom_site_fract_y
_atom_site_fract_z
Sr1 Sr 0.000 0.000 0.748
Sr2 Sr 0.000 0.000 0.500
Sr3 Sr 0.000 0.000 0.252
Ca1 Ca 0.500 0.500 0.253
Ca2 Ca 0.000 0.500 0.871
Ca3 Ca 0.500 0.500 0.500
Ca4 Ca 0.500 0.500 0.000
Ca5 Ca 0.500 0.000 0.871
Ca6 Ca 0.000 0.500 0.129
Ca7 Ca 0.500 0.500 0.747
Ca8 Ca 0.500 0.000 0.129
Ca9 Ca 0.500 0.000 0.376
Ca10 Ca 0.000 0.500 0.376
Ca11 Ca 0.500 0.000 0.624
Ca12 Ca 0.000 0.500 0.624
Ba1 Ba 0.000 0.000 0.000
```

- calculated formation energy (meV/atom) = 19
- VASP energy (eV/atom) = -1.918

Record 3
An optimized crystal structure of Ba5Sr4Ca2, computed with PBE.

Cell and atoms, written as CIF:
```
data_Ba5Sr4Ca2
_space_group_name_H-M_alt 'P 1'
_space_group_IT_number 1
_cell_length_a 4.178
_cell_length_b 11.118
_cell_length_c 15.197
_cell_angle_alpha 111.46
_cell_angle_beta 97.90
_cell_angle_gamma 90.00
loop_
_space_group_symop_operation_xyz
'x,y,z'
loop_
_atom_site_label
_atom_site_type_symbol
_atom_site_fract_x
_atom_site_fract_y
_atom_site_fract_z
Sr1 Sr 0.270 0.270 0.541
Sr2 Sr 0.000 0.681 0.000
Sr3 Sr 0.730 0.730 0.459
Sr4 Sr 0.000 0.319 0.000
Ba1 Ba 0.500 0.000 0.000
Ba2 Ba 0.859 0.055 0.718
Ba3 Ba 0.141 0.337 0.282
Ba4 Ba 0.859 0.663 0.718
Ba5 Ba 0.141 0.945 0.282
Ca1 Ca 0.594 0.594 0.189
Ca2 Ca 0.406 0.406 0.811
```

- calculated formation energy (meV/atom) = 126
- VASP energy (eV/atom) = -1.723
- excess energy over the best structure of this formula in the dataset (eV per atom) = 0.081

Record 4
An optimized crystal structure of Ba2Sr7Ca, computed with PBE.

Cell and atoms, written as CIF:
```
data_Ba2Sr7Ca
_space_group_name_H-M_alt 'P 1'
_space_group_IT_number 1
_cell_length_a 4.099
_cell_length_b 17.988
_cell_length_c 17.988
_cell_angle_alpha 24.99
_cell_angle_beta 90.00
_cell_angle_gamma 90.00
loop_
_space_group_symop_operation_xyz
'x,y,z'
loop_
_atom_site_label
_atom_site_type_symbol
_atom_site_fract_x
_atom_site_fract_y
_atom_site_fract_z
Ba1 Ba 0.500 0.294 0.294
Ba2 Ba 0.500 0.706 0.706
Sr1 Sr 0.500 0.850 0.343
Sr2 Sr 0.000 0.813 0.813
Sr3 Sr 0.500 0.657 0.150
Sr4 Sr 0.000 0.187 0.187
Sr5 Sr 0.500 0.500 0.500
Sr6 Sr 0.500 0.150 0.657
Sr7 Sr 0.500 0.343 0.850
Ca1 Ca 0.000 0.000 0.000
```

- calculated formation energy (meV/atom) = 96
- VASP energy (eV/atom) = -1.666
- excess energy over the best structure of this formula in the dataset (eV per atom) = 0.000

Record 5
An optimized crystal structure of Ba4Sr3Ca4, computed with PBE.

Cell and atoms, written as CIF:
```
data_Ba4Sr3Ca4
_space_group_name_H-M_alt 'P 1'
_space_group_IT_number 1
_cell_length_a 4.063
_cell_length_b 6.685
_cell_length_c 21.444
_cell_angle_alpha 81.05
_cell_angle_beta 83.15
_cell_angle_gamma 89.99
loop_
_space_group_symop_operation_xyz
'x,y,z'
loop_
_atom_site_label
_atom_site_type_symbol
_atom_site_fract_x
_atom_site_fract_y
_atom_site_fract_z
Ca1 Ca 0.264 0.457 0.086
Ca2 Ca 0.736 0.543 0.914
Ca3 Ca 0.068 0.819 0.362
Ca4 Ca 0.932 0.181 0.638
Ba1 Ba 0.476 0.090 0.820
Ba2 Ba 0.366 0.274 0.452
Ba3 Ba 0.634 0.726 0.548
Ba4 Ba 0.524 0.910 0.180
Sr1 Sr 0.000 0.000 0.000
Sr2 Sr 0.824 0.366 0.269
Sr3 Sr 0.176 0.634 0.731
```

- calculated formation energy (meV/atom) = 31
- VASP energy (eV/atom) = -1.855
- excess energy over the best structure of this formula in the dataset (eV per atom) = 0.000

Record 6
An optimized crystal structure of Ba8Sr2Ca3, computed with PBE.

Cell and atoms, written as CIF:
```
data_Ba8Sr2Ca3
_space_group_name_H-M_alt 'P 1'
_space_group_IT_number 1
_cell_length_a 7.942
_cell_length_b 7.942
_cell_length_c 15.299
_cell_angle_alpha 74.96
_cell_angle_beta 74.96
_cell_angle_gamma 60.00
loop_
_space_group_symop_operation_xyz
'x,y,z'
loop_
_atom_site_label
_atom_site_type_symbol
_atom_site_fract_x
_atom_site_fract_y
_atom_site_fract_z
Ca1 Ca 0.814 0.814 0.558
Ca2 Ca 0.186 0.186 0.442
Ca3 Ca 0.000 0.000 0.000
Ba1 Ba 0.725 0.725 0.824
Ba2 Ba 0.223 0.719 0.339
Ba3 Ba 0.719 0.223 0.339
Ba4 Ba 0.777 0.281 0.661
Ba5 Ba 0.281 0.281 0.661
Ba6 Ba 0.281 0.777 0.661
Ba7 Ba 0.719 0.719 0.339
Ba8 Ba 0.275 0.275 0.176
Sr1 Sr 0.635 0.635 0.094
Sr2 Sr 0.365 0.365 0.906
```

- calculated formation energy (meV/atom) = 194
- VASP energy (eV/atom) = -1.710
- excess energy over the best structure of this formula in the dataset (eV per atom) = 0.046

> Number 1 is which compound?

Ba5Sr3Ca2